V2CoO6 PBE with a Hubbard U optimized geometry; crystal system = monoclinic; total DFT energy (no corrections) = -7.205 eV/atom; Fermi-level density of states = 0.000 states/eV/atom; M_tot = 3.0 μB/f.u.
1.0
4.9159 -1.8003 0.0000
4.9159 1.8003 0.0000
-1.4323 0.0000 6.7902
V Co O
2 1 6
direct
0.2391 0.2391 0.1857
0.7609 0.7609 0.8143
0.0000 0.0000 0.5000
0.0923 0.0923 0.2737
0.2549 0.2549 0.8965
0.3786 0.3786 0.3777
0.6214 0.6214 0.6223
0.7451 0.7451 0.1035
0.9077 0.9077 0.7263